(1)
This record from Alexandria via LeMat-Bulk describes Sr2MgCrGe after structural relaxation. The functional is PBE.

Summary:
Space group   No. 123

The structure in CIF format:
```
data_Sr2MgCrGe
_chemical_formula_sum 'Sr2 Mg1 Cr1 Ge1'
_symmetry_space_group_name_H-M 'P 1'
_symmetry_Int_Tables_number 1
_cell_length_a 6.102
_cell_length_b 6.102
_cell_length_c 4.958
_cell_angle_alpha 90.00
_cell_angle_beta 90.00
_cell_angle_gamma 90.00
loop_
_symmetry_equiv_pos_as_xyz
'x,y,z'
loop_
_atom_site_label
_atom_site_type_symbol
_atom_site_fract_x
_atom_site_fract_y
_atom_site_fract_z
Sr1 Sr 0.000 0.500 0.000
Sr2 Sr 0.500 0.000 0.000
Mg1 Mg 0.000 0.000 0.000
Cr1 Cr 0.000 0.000 0.500
Ge1 Ge 0.500 0.500 0.500
```

---

(2)
This record from Alexandria via LeMat-Bulk describes Mg2CrGeW after structural relaxation. The functional is PBE.

Summary:
Space group   No. 123

The structure in CIF format:
```
data_Mg2CrGeW
_chemical_formula_sum 'Mg2 Cr1 Ge1 W1'
_symmetry_space_group_name_H-M 'P 1'
_symmetry_Int_Tables_number 1
_cell_length_a 5.103
_cell_length_b 5.103
_cell_length_c 4.808
_cell_angle_alpha 90.00
_cell_angle_beta 90.00
_cell_angle_gamma 90.00
loop_
_symmetry_equiv_pos_as_xyz
'x,y,z'
loop_
_atom_site_label
_atom_site_type_symbol
_atom_site_fract_x
_atom_site_fract_y
_atom_site_fract_z
Mg1 Mg 0.000 0.500 0.000
Mg2 Mg 0.500 0.000 0.000
Cr1 Cr 0.000 0.000 0.500
Ge1 Ge 0.500 0.500 0.500
W1 W 0.500 0.500 0.000
```

---

(3)
This record from Alexandria via LeMat-Bulk describes MnCr2Ge after structural relaxation. The functional is PBE.

Summary:
Space group   No. 123

The structure in CIF format:
```
data_MnCr2Ge
_chemical_formula_sum 'Mn1 Cr2 Ge1'
_symmetry_space_group_name_H-M 'P 1'
_symmetry_Int_Tables_number 1
_cell_length_a 3.590
_cell_length_b 3.590
_cell_length_c 3.831
_cell_angle_alpha 90.00
_cell_angle_beta 90.00
_cell_angle_gamma 90.00
loop_
_symmetry_equiv_pos_as_xyz
'x,y,z'
loop_
_atom_site_label
_atom_site_type_symbol
_atom_site_fract_x
_atom_site_fract_y
_atom_site_fract_z
Mn1 Mn 0.000 0.000 0.000
Cr1 Cr 0.000 0.500 0.500
Cr2 Cr 0.500 0.000 0.500
Ge1 Ge 0.500 0.500 0.000
```

---

(4)
This record from Alexandria via LeMat-Bulk describes Mn2CrGe2 after structural relaxation. The functional is PBE.

Summary:
Space group   No. 127

The structure in CIF format:
```
data_Mn2CrGe2
_chemical_formula_sum 'Mn4 Cr2 Ge4'
_symmetry_space_group_name_H-M 'P 1'
_symmetry_Int_Tables_number 1
_cell_length_a 6.573
_cell_length_b 6.573
_cell_length_c 2.986
_cell_angle_alpha 90.00
_cell_angle_beta 90.00
_cell_angle_gamma 90.00
loop_
_symmetry_equiv_pos_as_xyz
'x,y,z'
loop_
_atom_site_label
_atom_site_type_symbol
_atom_site_fract_x
_atom_site_fract_y
_atom_site_fract_z
Mn1 Mn 0.131 0.369 0.000
Mn2 Mn 0.369 0.869 0.000
Mn3 Mn 0.631 0.131 0.000
Mn4 Mn 0.869 0.631 0.000
Cr1 Cr 0.000 0.000 0.000
Cr2 Cr 0.500 0.500 0.000
Ge1 Ge 0.169 0.669 0.500
Ge2 Ge 0.331 0.169 0.500
Ge3 Ge 0.669 0.831 0.500
Ge4 Ge 0.831 0.331 0.500
```

---

(5)
This record from Alexandria via LeMat-Bulk describes MnCrGe3 after structural relaxation. The functional is PBE.

Summary:
Space group   No. 15

The structure in CIF format:
```
data_MnCrGe3
_chemical_formula_sum 'Mn4 Cr4 Ge12'
_symmetry_space_group_name_H-M 'P 1'
_symmetry_Int_Tables_number 1
_cell_length_a 8.963
_cell_length_b 8.963
_cell_length_c 4.070
_cell_angle_alpha 103.02
_cell_angle_beta 103.02
_cell_angle_gamma 82.56
loop_
_symmetry_equiv_pos_as_xyz
'x,y,z'
loop_
_atom_site_label
_atom_site_type_symbol
_atom_site_fract_x
_atom_site_fract_y
_atom_site_fract_z
Mn1 Mn 0.077 0.923 0.750
Mn2 Mn 0.225 0.775 0.250
Mn3 Mn 0.775 0.225 0.750
Mn4 Mn 0.923 0.077 0.250
Cr1 Cr 0.213 0.334 0.524
Cr2 Cr 0.334 0.213 0.024
Cr3 Cr 0.666 0.787 0.976
Cr4 Cr 0.787 0.666 0.476
Ge1 Ge 0.053 0.226 0.890
Ge2 Ge 0.107 0.614 0.611
Ge3 Ge 0.226 0.053 0.390
Ge4 Ge 0.302 0.494 0.148
Ge5 Ge 0.386 0.893 0.889
Ge6 Ge 0.494 0.302 0.648
Ge7 Ge 0.506 0.698 0.352
Ge8 Ge 0.614 0.107 0.111
Ge9 Ge 0.698 0.506 0.852
Ge10 Ge 0.774 0.947 0.610
Ge11 Ge 0.893 0.386 0.389
Ge12 Ge 0.947 0.774 0.110
```

---

(6)
This record from Alexandria via LeMat-Bulk describes MnCrGe after structural relaxation. The functional is PBE.

Summary:
Space group   No. 156

The structure in CIF format:
```
data_MnCrGe
_chemical_formula_sum 'Mn1 Cr1 Ge1'
_symmetry_space_group_name_H-M 'P 1'
_symmetry_Int_Tables_number 1
_cell_length_a 4.057
_cell_length_b 4.057
_cell_length_c 2.701
_cell_angle_alpha 90.00
_cell_angle_beta 90.00
_cell_angle_gamma 120.00
loop_
_symmetry_equiv_pos_as_xyz
'x,y,z'
loop_
_atom_site_label
_atom_site_type_symbol
_atom_site_fract_x
_atom_site_fract_y
_atom_site_fract_z
Mn1 Mn 0.000 0.000 0.000
Cr1 Cr 0.333 0.667 0.327
Ge1 Ge 0.667 0.333 0.733
```

---

(7)
This record from Alexandria via LeMat-Bulk describes Mn3CrGe after structural relaxation. The functional is PBE.

Summary:
Space group   No. 8

The structure in CIF format:
```
data_Mn3CrGe
_chemical_formula_sum 'Mn3 Cr1 Ge1'
_symmetry_space_group_name_H-M 'P 1'
_symmetry_Int_Tables_number 1
_cell_length_a 4.566
_cell_length_b 4.566
_cell_length_c 6.026
_cell_angle_alpha 130.64
_cell_angle_beta 130.64
_cell_angle_gamma 42.15
loop_
_symmetry_equiv_pos_as_xyz
'x,y,z'
loop_
_atom_site_label
_atom_site_type_symbol
_atom_site_fract_x
_atom_site_fract_y
_atom_site_fract_z
Mn1 Mn 0.000 0.000 0.000
Mn2 Mn 0.603 0.603 0.397
Mn3 Mn 0.796 0.796 0.199
Cr1 Cr 0.389 0.389 0.583
Ge1 Ge 0.198 0.198 0.797
```

---

(8)
This record from Alexandria via LeMat-Bulk describes MnCr2Ge after structural relaxation. The functional is PBE.

Summary:
Space group   No. 166

The structure in CIF format:
```
data_MnCr2Ge
_chemical_formula_sum 'Mn1 Cr2 Ge1'
_symmetry_space_group_name_H-M 'P 1'
_symmetry_Int_Tables_number 1
_cell_length_a 8.272
_cell_length_b 8.272
_cell_length_c 8.272
_cell_angle_alpha 18.40
_cell_angle_beta 18.40
_cell_angle_gamma 18.40
loop_
_symmetry_equiv_pos_as_xyz
'x,y,z'
loop_
_atom_site_label
_atom_site_type_symbol
_atom_site_fract_x
_atom_site_fract_y
_atom_site_fract_z
Mn1 Mn 0.000 0.000 0.000
Cr1 Cr 0.254 0.254 0.254
Cr2 Cr 0.746 0.746 0.746
Ge1 Ge 0.500 0.500 0.500
```

---

(9)
This record from Alexandria via LeMat-Bulk describes Mn3CrGe after structural relaxation. The functional is PBE.

Summary:
Space group   No. 221

The structure in CIF format:
```
data_Mn3CrGe
_chemical_formula_sum 'Mn3 Cr1 Ge1'
_symmetry_space_group_name_H-M 'P 1'
_symmetry_Int_Tables_number 1
_cell_length_a 4.358
_cell_length_b 4.358
_cell_length_c 4.358
_cell_angle_alpha 90.00
_cell_angle_beta 90.00
_cell_angle_gamma 90.00
loop_
_symmetry_equiv_pos_as_xyz
'x,y,z'
loop_
_atom_site_label
_atom_site_type_symbol
_atom_site_fract_x
_atom_site_fract_y
_atom_site_fract_z
Mn1 Mn 0.000 0.000 0.500
Mn2 Mn 0.000 0.500 0.000
Mn3 Mn 0.500 0.000 0.000
Cr1 Cr 0.000 0.000 0.000
Ge1 Ge 0.500 0.500 0.500
```

---

(10)
This record from Alexandria via LeMat-Bulk describes MnCrGe3 after structural relaxation. The functional is PBE.

Summary:
Space group   No. 221

The structure in CIF format:
```
data_MnCrGe3
_chemical_formula_sum 'Mn1 Cr1 Ge3'
_symmetry_space_group_name_H-M 'P 1'
_symmetry_Int_Tables_number 1
_cell_length_a 4.594
_cell_length_b 4.594
_cell_length_c 4.594
_cell_angle_alpha 90.00
_cell_angle_beta 90.00
_cell_angle_gamma 90.00
loop_
_symmetry_equiv_pos_as_xyz
'x,y,z'
loop_
_atom_site_label
_atom_site_type_symbol
_atom_site_fract_x
_atom_site_fract_y
_atom_site_fract_z
Mn1 Mn 0.000 0.000 0.000
Cr1 Cr 0.500 0.500 0.500
Ge1 Ge 0.000 0.000 0.500
Ge2 Ge 0.000 0.500 0.000
Ge3 Ge 0.500 0.000 0.000
```

---

(11)
This record from Alexandria via LeMat-Bulk describes Mn5CrGe6 after structural relaxation. The functional is PBE.

Summary:
Space group   No. 12

The structure in CIF format:
```
data_Mn5CrGe6
_chemical_formula_sum 'Mn5 Cr1 Ge6'
_symmetry_space_group_name_H-M 'P 1'
_symmetry_Int_Tables_number 1
_cell_length_a 4.950
_cell_length_b 4.950
_cell_length_c 8.217
_cell_angle_alpha 95.90
_cell_angle_beta 95.90
_cell_angle_gamma 120.03
loop_
_symmetry_equiv_pos_as_xyz
'x,y,z'
loop_
_atom_site_label
_atom_site_type_symbol
_atom_site_fract_x
_atom_site_fract_y
_atom_site_fract_z
Mn1 Mn 0.000 0.000 0.000
Mn2 Mn 0.167 0.833 0.500
Mn3 Mn 0.331 0.669 0.000
Mn4 Mn 0.669 0.331 0.000
Mn5 Mn 0.833 0.167 0.500
Cr1 Cr 0.500 0.500 0.500
Ge1 Ge 0.084 0.416 0.248
Ge2 Ge 0.253 0.253 0.754
Ge3 Ge 0.416 0.084 0.248
Ge4 Ge 0.584 0.916 0.752
Ge5 Ge 0.747 0.747 0.246
Ge6 Ge 0.916 0.584 0.752
```

---

(12)
This record from Alexandria via LeMat-Bulk describes Mn2CrGe2 after structural relaxation. The functional is PBE.

Summary:
Space group   No. 127

The structure in CIF format:
```
data_Mn2CrGe2
_chemical_formula_sum 'Mn4 Cr2 Ge4'
_symmetry_space_group_name_H-M 'P 1'
_symmetry_Int_Tables_number 1
_cell_length_a 6.560
_cell_length_b 6.560
_cell_length_c 3.176
_cell_angle_alpha 90.00
_cell_angle_beta 90.00
_cell_angle_gamma 90.00
loop_
_symmetry_equiv_pos_as_xyz
'x,y,z'
loop_
_atom_site_label
_atom_site_type_symbol
_atom_site_fract_x
_atom_site_fract_y
_atom_site_fract_z
Mn1 Mn 0.159 0.341 0.000
Mn2 Mn 0.341 0.841 0.000
Mn3 Mn 0.659 0.159 0.000
Mn4 Mn 0.841 0.659 0.000
Cr1 Cr 0.000 0.000 0.500
Cr2 Cr 0.500 0.500 0.500
Ge1 Ge 0.142 0.642 0.500
Ge2 Ge 0.358 0.142 0.500
Ge3 Ge 0.642 0.858 0.500
Ge4 Ge 0.858 0.358 0.500
```

---

Number 1: formation energy from the elements 3.7 eV per formula unit. Number 2: formation energy from the elements 8.2 eV per formula unit. Number 3: formation energy from the elements 0.2 eV per formula unit. Number 4: formation energy from the elements 1.6 eV per formula unit. Number 5: formation energy from the elements 0.6 eV per formula unit. Number 6: formation energy from the elements 0.3 eV per formula unit. Number 7: formation energy from the elements 0.0 eV per formula unit. Number 8: formation energy from the elements 1.1 eV per formula unit. Number 9: formation energy from the elements 4.6 eV per formula unit. Number 10: formation energy from the elements 2.4 eV per formula unit. Number 11: formation energy from the elements 1.3 eV per formula unit. Number 12: formation energy from the elements 0.5 eV per formula unit.